Material: Ac2PmSb4Rh3
Method: DFT, PBE
State: relaxed

The structure belongs to space group P-4m2 (No. 115); the cell edges are 4.6412, 4.6412 and 11.8267 Å and the angles 90.00°, 90.00° and 90.00°. The asymmetric unit holds Ac at (0.0000, 0.5000, 0.2253), Pm at (0.0000, 0.0000, 0.5000), Sb at (0.0000, 0.0000, 0.0000), Sb at (0.0000, 0.5000, 0.6631), Sb at (0.5000, 0.5000, 0.0000), Rh at (0.0000, 0.5000, 0.8895) and Rh at (0.5000, 0.5000, 0.5000).

For the total energy, the calculation gives -5.994 eV/atom. Its formation energy without anion corrections is -81.31 kJ/mol of atoms.